PBE ZnPdPt14, relaxed; DFT total energy = -0.424 Ry per atom
1.0
9.300 0.000 0.000
0.000 2.777 4.826
0.000 -2.777 4.826
Zn Pd Pt
1 1 14
Direct
0.000 0.000 0.000
0.000 0.502 0.502
0.000 0.000 0.503
0.000 0.503 0.000
0.245 0.164 0.164
0.247 0.164 0.666
0.247 0.666 0.164
0.249 0.665 0.665
0.500 0.329 0.329
0.500 0.329 0.830
0.500 0.830 0.329
0.500 0.830 0.830
0.751 0.665 0.665
0.753 0.164 0.666
0.753 0.666 0.164
0.755 0.164 0.164